No. 1
Material: MnIrPdO
Method: DFT, GGA+U
State: relaxed Values from VASP.

Quantum ESPRESSO input file:
```
&SYSTEM
  ibrav = 0, nat = 8, ntyp = 4
/
ATOMIC_SPECIES
Mn 54.94 Mn.upf
Ir 192.22 Ir.upf
Pd 106.42 Pd.upf
O 16.00 O.upf
ATOMIC_POSITIONS crystal
Mn 0.1231 0.0000 0.0408
Mn 0.1231 0.5000 0.5408
Ir 0.8324 0.0000 0.2763
Ir 0.8324 0.5000 0.7763
Pd 0.5446 0.0000 0.5137
Pd 0.5446 0.5000 0.0137
O 0.2736 0.0000 0.4243
O 0.2736 0.5000 0.9243
CELL_PARAMETERS angstrom
7.7751 0.0000 -0.1135
0.0000 2.8837 0.0000
-0.9970 0.0000 4.8870
```

Properties
energy above the lowest structure with this stoichiometry = 55 meV/atom

***

No. 2
Material: MnIrPdO
Method: DFT, GGA+U
State: relaxed Values from VASP.

Quantum ESPRESSO input file:
```
&SYSTEM
  ibrav = 0, nat = 8, ntyp = 4
/
ATOMIC_SPECIES
Mn 54.94 Mn.upf
Ir 192.22 Ir.upf
Pd 106.42 Pd.upf
O 16.00 O.upf
ATOMIC_POSITIONS crystal
Mn 0.0506 0.0000 0.5934
Mn 0.0506 0.5000 0.0934
Ir 0.8508 0.0000 0.2884
Ir 0.8508 0.5000 0.7884
Pd 0.4657 0.0000 0.9083
Pd 0.4657 0.5000 0.4083
O 0.4065 0.0000 0.1146
O 0.4065 0.5000 0.6146
CELL_PARAMETERS angstrom
-1.3026 -0.3535 -4.0687
2.3218 -1.5224 -0.6111
-3.2141 -7.3799 6.1743
```

Properties
energy above the lowest structure with this stoichiometry = 239 meV/atom

***

No. 3
Material: MnIrPdO
Method: DFT, GGA+U
State: relaxed Values from VASP.

Quantum ESPRESSO input file:
```
&SYSTEM
  ibrav = 0, nat = 12, ntyp = 4
/
ATOMIC_SPECIES
Mn 54.94 Mn.upf
Ir 192.22 Ir.upf
Pd 106.42 Pd.upf
O 16.00 O.upf
ATOMIC_POSITIONS crystal
Mn 0.0000 0.0000 0.0403
Mn 0.3333 0.6667 0.7070
Mn 0.6667 0.3333 0.3736
Ir 0.0000 0.0000 0.2793
Ir 0.3333 0.6667 0.9460
Ir 0.6667 0.3333 0.6127
Pd 0.0000 0.0000 0.8490
Pd 0.3333 0.6667 0.5157
Pd 0.6667 0.3333 0.1824
O 0.0000 0.0000 0.7559
O 0.3333 0.6667 0.4225
O 0.6667 0.3333 0.0892
CELL_PARAMETERS angstrom
2.8934 0.0000 0.0000
-1.4467 2.5058 0.0000
0.0000 0.0000 22.4776
```

Properties
energy above the lowest structure with this stoichiometry = 0 meV/atom